[1]
An optimized crystal structure of MgCd2Fe. Source: Alexandria via LeMat-Bulk, functional PBE.

Properties
Density ... 6.874 g/cm3
Size of the total moment ... 2.54 μB per formula unit
SG ... Pmmm
ΔH_f (0 K) ... 76 kJ/mol of formula units

Unit cell a=3.0076 b=3.9989 c=6.1253 alpha=90.00 beta=90.00 gamma=90.00
Positions (direct):
Fe (0.5000, 0.5000, 0.2500)
Cd (0.0000, 0.0000, 0.0165)
Cd (0.0000, 0.0000, 0.4835)
Mg (0.5000, 0.5000, 0.7500)

[2]
An optimized crystal structure of DyErCdRh. Source: Alexandria via LeMat-Bulk, functional PBE.

Properties
Density ... 9.869 g/cm3
Polymorph energy (0 for the lowest one) ... 0.00 kJ per mole of atoms
Size of the total moment ... 0.00 μB per formula unit
SG ... P4mm
ΔH_f (0 K) ... -244 kJ/mol of formula units

Unit cell a=3.4918 b=3.4918 c=7.5217 alpha=90.00 beta=90.00 gamma=90.00
Positions (direct):
Rh (0.0000, 0.0000, 0.5676)
Cd (0.0000, 0.0000, 0.0745)
Dy (0.5000, 0.5000, 0.7884)
Er (0.5000, 0.5000, 0.3542)

[3]
An optimized crystal structure of La2Nd4Tl3Cl2. Source: Alexandria via LeMat-Bulk, functional PBE.

Properties
Density ... 7.206 g/cm3
Energy relative to the elements, uncorrected ... -650 meV/atom
Size of the total moment ... 0.02 μB per formula unit
SG ... I4/mmm

Unit cell a=5.4680 b=5.4680 c=12.4747 alpha=102.66 beta=102.66 gamma=90.00
Positions (direct):
Tl (0.0000, 0.0000, 0.0000)
Tl (0.8389, 0.8389, 0.6777)
Tl (0.1611, 0.1611, 0.3223)
Nd (0.5852, 0.0852, 0.1704)
Cl (0.5744, 0.5744, 0.1487)
Cl (0.4256, 0.4256, 0.8513)
La (0.7026, 0.7026, 0.4051)
La (0.2974, 0.2974, 0.5949)
Nd (0.4148, 0.9148, 0.8296)
Nd (0.0852, 0.5852, 0.1704)
Nd (0.9148, 0.4148, 0.8296)

[4]
An optimized crystal structure of Pr7Sm4Pu. Source: Alexandria via LeMat-Bulk, functional PBE.

Properties
Density ... 7.237 g/cm3
Size of the total moment ... 6.14 μB per formula unit
SG ... C2/m
ΔH_f (0 K) ... 240 kJ/mol of formula units

Unit cell a=5.6192 b=6.3736 c=13.5014 alpha=77.58 beta=77.99 gamma=63.84
Positions (direct):
Sm (0.5374, 0.7029, 0.2224)
Pu (0.0000, 0.0000, 0.0000)
Pr (0.3592, 0.8090, 0.4725)
Pr (0.5000, 0.0000, 0.0000)
Sm (0.0898, 0.4491, 0.3714)
Sm (0.4626, 0.2971, 0.7776)
Sm (0.9102, 0.5509, 0.6286)
Pr (0.1665, 0.9208, 0.7461)
Pr (0.7828, 0.5369, 0.8975)
Pr (0.6408, 0.1910, 0.5275)
Pr (0.8335, 0.0792, 0.2539)
Pr (0.2172, 0.4631, 0.1025)

Copy entry 3 word for word.
An optimized crystal structure of La2Nd4Tl3Cl2. Source: Alexandria via LeMat-Bulk, functional PBE.

Properties
Density ... 7.206 g/cm3
Energy relative to the elements, uncorrected ... -650 meV/atom
Size of the total moment ... 0.02 μB per formula unit
SG ... I4/mmm

Unit cell a=5.4680 b=5.4680 c=12.4747 alpha=102.66 beta=102.66 gamma=90.00
Positions (direct):
Tl (0.0000, 0.0000, 0.0000)
Tl (0.8389, 0.8389, 0.6777)
Tl (0.1611, 0.1611, 0.3223)
Nd (0.5852, 0.0852, 0.1704)
Cl (0.5744, 0.5744, 0.1487)
Cl (0.4256, 0.4256, 0.8513)
La (0.7026, 0.7026, 0.4051)
La (0.2974, 0.2974, 0.5949)
Nd (0.4148, 0.9148, 0.8296)
Nd (0.0852, 0.5852, 0.1704)
Nd (0.9148, 0.4148, 0.8296)

The lowest density belongs to which entry?
MgCd2Fe